[1]
An optimized crystal structure of CaBr2F, computed with PBEsol.

The calculation puts the formation energy without anion corrections at -1.493 eV/atom.

The structure in CIF format:
```
data_CaBr2F
_cell_length_a 6.939
_cell_length_b 6.939
_cell_length_c 6.939
_cell_angle_alpha 90.00
_cell_angle_beta 90.00
_cell_angle_gamma 90.00
_space_group_name_H-M_alt 'F m -3 m'
_space_group_IT_number 225
_space_group_name_Hall '-F 4 2 3'
loop_
_atom_site_label
_atom_site_fract_x
_atom_site_fract_y
_atom_site_fract_z
Ca1 0.000 0.000 0.000
Br1 0.250 0.250 0.250
F1 0.000 0.000 0.500
```


[2]
An optimized crystal structure of YSc4Cd, computed with PBEsol.

The formation enthalpy at 0 K is 0.154 eV/atom.

The structure in CIF format:
```
data_YSc4Cd
_cell_length_a 8.377
_cell_length_b 8.377
_cell_length_c 8.377
_cell_angle_alpha 90.00
_cell_angle_beta 90.00
_cell_angle_gamma 90.00
_space_group_name_H-M_alt 'F -4 3 m'
_space_group_IT_number 216
_space_group_name_Hall 'F -4 2 3'
loop_
_atom_site_label
_atom_site_fract_x
_atom_site_fract_y
_atom_site_fract_z
Y1 0.000 0.000 0.000
Sc1 0.126 0.126 0.626
Cd1 0.250 0.250 0.250
```


[3]
An optimized crystal structure of KScTa2, computed with PBEsol.

The formation enthalpy at 0 K is 1.066 eV/atom. For the excess energy over the best structure of this formula in the dataset, the calculation gives 0.00 eV/f.u.

The structure in CIF format:
```
data_KScTa2
_cell_length_a 2.902
_cell_length_b 5.252
_cell_length_c 11.401
_cell_angle_alpha 90.00
_cell_angle_beta 90.00
_cell_angle_gamma 90.00
_space_group_name_H-M_alt 'I m m m'
_space_group_IT_number 71
_space_group_name_Hall '-I 2 2'
loop_
_atom_site_label
_atom_site_fract_x
_atom_site_fract_y
_atom_site_fract_z
K1 0.000 0.000 0.000
Sc1 0.000 0.000 0.500
Ta1 0.000 0.500 0.229
```


[4]
An optimized crystal structure of CsSn2Te2, computed with PBEsol.

For the excess energy over the best structure of this formula in the dataset, the calculation gives 0.00 eV/f.u. The calculation puts the formation energy without anion corrections at -0.436 eV/atom.

The structure in CIF format:
```
data_CsSn2Te2
_cell_length_a 5.815
_cell_length_b 5.815
_cell_length_c 10.826
_cell_angle_alpha 90.00
_cell_angle_beta 90.00
_cell_angle_gamma 90.00
_space_group_name_H-M_alt 'I 4/m m m'
_space_group_IT_number 139
_space_group_name_Hall '-I 4 2'
loop_
_atom_site_label
_atom_site_fract_x
_atom_site_fract_y
_atom_site_fract_z
Cs1 0.000 0.000 0.000
Sn1 0.000 0.000 0.351
Te1 0.000 0.500 0.250
```